VASP calculation (GGA-PBE) on an optimized crystal structure of ZnHgAu2.

Unit cell a=4.290 b=4.290 c=7.954 alpha=90.00 beta=90.00 gamma=90.00
Space group I4/mmm (No. 139)
Unique sites:
1 Zn 0.000 0.000 0.000 [2 per cell]
2 Hg 0.000 0.000 0.500 [2 per cell]
3 Au 0.000 0.500 0.250 [4 per cell]

Summary:
mass density: 15.0 Mg/m³
D(E_F): 2.231 states/eV per cell
formation energy: 4 kJ/mol of formula units



VASP calculation (GGA-PBE) on an optimized crystal structure of Zn2HgAu.

Unit cell a=4.062 b=4.156 c=8.381 alpha=90.00 beta=90.00 gamma=90.00
Space group Imm2 (No. 44)
Unique sites:
1 Zn 0.000 0.000 0.000 [2 per cell]
2 Zn 0.000 0.500 0.250 [2 per cell]
3 Hg 0.000 0.500 0.752 [2 per cell]
4 Au 0.000 0.000 0.503 [2 per cell]

Summary:
mass density: 12.4 Mg/m³
D(E_F): 2.636 states/eV per cell
formation energy: 10 kJ/mol of formula units



VASP calculation (GGA-PBE) on an optimized crystal structure of Zn2HgAu.

Unit cell a=3.171 b=4.564 c=4.972 alpha=90.00 beta=90.96 gamma=90.00
Space group Pm (No. 6)
Unique sites:
1 Zn 0.000 0.000 0.000 [1 per cell]
2 Zn 0.496 0.500 0.833 [1 per cell]
3 Hg 0.993 0.500 0.314 [1 per cell]
4 Au 0.489 0.000 0.557 [1 per cell]

Summary:
mass density: 12.2 Mg/m³
D(E_F): 0.425 states/eV per cell
formation energy: -3 kJ/mol of formula units



VASP calculation (GGA-PBE) on an optimized crystal structure of ZnHg2Au2.

Unit cell a=7.028 b=7.028 c=4.206 alpha=90.00 beta=90.00 gamma=90.00
Space group P4/mbm (No. 127)
Unique sites:
1 Zn 0.000 0.000 0.000 [2 per cell]
2 Hg 0.160 0.340 0.500 [4 per cell]
3 Au 0.149 0.649 0.000 [4 per cell]

Summary:
mass density: 13.8 Mg/m³
D(E_F): 2.852 states/eV per cell
formation energy: 22 kJ/mol of formula units
energy relative to the lowest polymorph listed for this composition: 0.000 eV per atom



> mass density of number 3 (Zn2HgAu)?

12.2 Mg/m³



> D(E_F) of number 3 (Zn2HgAu)?

0.425 states/eV per cell



> Among the records above, which one has the lowest formation energy?

number 3